This record from Alexandria describes a relaxed KHg6Pd3 crystal. The functional is PBE.

## Properties
The formation energy comes out at -1.03 eV/f.u. The calculation puts the total energy at -1.952 eV/atom. The crystal system is triclinic.

POSCAR file:
```
KHg6Pd3
1.0
-3.2675 2.9324 4.4699
-2.9561 -3.6536 -4.1765
3.9003 -6.3488 2.8650
Hg Pd K
6 3 1
Direct
0.7494 0.0798 0.2618
0.5783 0.5052 0.2415
0.2801 0.3886 0.6795
0.1592 0.6634 0.2567
0.2846 0.8797 0.6607
0.7884 0.3995 0.6605
0.3010 0.6661 0.9639
0.2634 0.1395 0.3878
0.6484 0.3069 0.9621
0.9472 0.9713 0.9255
```